An optimized crystal structure of La5HgAu4. Source: the Alexandria database, functional PBE-GGA.

As for the formation energy: -0.73 eV per atom. As for the symmetry: P4/mmm (123). The calculation puts the total energy at -45.3 eV/cell.

Cell: 3.796 3.796 19.141 Å, 90.00 90.00 90.00°
Element x y z (fractional)
La  0.000  0.000  0.000
La  0.000  0.000  0.197
La  0.000  0.000  0.393
La  0.000  0.000  0.607
La  0.000  0.000  0.803
Hg  0.500  0.500  0.500
Au  0.500  0.500  0.098
Au  0.500  0.500  0.297
Au  0.500  0.500  0.703
Au  0.500  0.500  0.902